First-principles (PBE-GGA) data for an optimized crystal structure of Pr12YIn3, as listed in the Alexandria database.

a = 5.0419 Å, b = 5.0419 Å, c = 20.5389 Å
α = 90.00°, β = 90.00°, γ = 90.00°
Last column: nearest neighbours and their distance in Å.
Space group P4/mmm (No. 123)
Asymmetric unit:
Pr1 0.0000 0.0000 0.0000  4 In 3.57, 8 Pr 3.57
Pr2 0.0000 0.0000 0.2452  8 Pr 3.56-3.57, 4 In 3.57
Pr3 0.0000 0.0000 0.5000  4 Y 3.57, 8 Pr 3.69
Pr4 0.0000 0.5000 0.1228  4 In 3.54-3.57, 8 Pr 3.56-3.57
Pr5 0.0000 0.5000 0.3685  8 Pr 3.57-3.69, 2 In 3.59, 2 Y 3.69
Y1 0.5000 0.5000 0.5000  12 Pr 3.57-3.69
In1 0.5000 0.5000 0.0000  12 Pr 3.57
In2 0.5000 0.5000 0.2442  12 Pr 3.54-3.59

Computed properties:
Calculated formation energy ... -0.198 eV/atom
Energy ... -0.173 hartree per atom
Crystal system ... tetragonal